No. 1
Here is an optimized crystal structure of Li2CuMo from the Alexandria database. Energies are from PBE.

Unit cell a=2.6620 b=2.6620 c=28.0444 alpha=90.00 beta=90.00 gamma=120.00
Last column: nearest neighbours and their distance in Å.
Space group R-3m (No. 166, hexagonal axes)
Inequivalent atoms, fractional coordinates:
Li 0.0000 0.0000 0.2453 x6  6 Li 2.66, 3 Cu 2.69, 3 Mo 2.91
Cu 0.0000 0.0000 0.5000 x3  6 Cu 2.66, 6 Li 2.69
Mo 0.0000 0.0000 0.0000 x3  6 Mo 2.66, 6 Li 2.91

The total magnetization comes out at 0.25 μB/f.u. The formation energy is 0.2624 eV per atom.

No. 2
Here is an optimized crystal structure of SrRePt2 from the Alexandria database. Energies are from PBE.

Unit cell a=2.9090 b=2.9090 c=29.4424 alpha=90.00 beta=90.00 gamma=120.00
Last column: nearest neighbours and their distance in Å.
Space group R-3m (No. 166, hexagonal axes)
Inequivalent atoms, fractional coordinates:
Sr 0.0000 0.0000 0.0000 x3  6 Sr 2.91, 6 Pt 3.20
Re 0.0000 0.0000 0.5000 x3  6 Pt 2.76, 6 Re 2.91
Pt 0.0000 0.0000 0.2410 x6  3 Re 2.76, 6 Pt 2.91

The total magnetization comes out at 0.00 μB/f.u. The formation energy is 0.3870 eV per atom.

No. 3
Here is an optimized crystal structure of BaP2Cl from the Alexandria database. Energies are from PBE.

Unit cell a=7.4355 b=7.4355 c=7.4355 alpha=90.00 beta=90.00 gamma=90.00
Last column: nearest neighbours and their distance in Å.
Space group Fm-3m (No. 225)
Inequivalent atoms, fractional coordinates:
Ba 0.0000 0.0000 0.0000 x4  8 P 3.22
P 0.2500 0.2500 0.2500 x8  4 Ba 3.22, 4 Cl 3.22
Cl 0.0000 0.0000 0.5000 x4  8 P 3.22

The total magnetization comes out at 0.00 μB/f.u. The value obtained for the formation energy without anion corrections is 279 meV/atom.

Number 1: ΔE to the lowest computed polymorph 0.063 eV per atom. Number 2: ΔE to the lowest computed polymorph 0.451 eV per atom. Number 3: ΔE to the lowest computed polymorph 1.263 eV per atom.